This record from Alexandria describes a relaxed LiDyTaRu crystal. The functional is GGA-PBE.

a b c (Å): 4.663 4.663 4.663
angles (deg): 60.00 60.00 60.00
Positions (direct):
Li 0.000 0.000 0.000
Dy 0.250 0.250 0.250
Ta 0.750 0.750 0.750
Ru 0.500 0.500 0.500

Results
VASP energy: -0.50930 Ry/atom
DFT formation energy: -0.0182 eV per atom
space group: F-43m